DFT (meta-GGA SCAN) results for Te2PbIBr at its PBEsol-relaxed geometry.

Values from the calculation:
Its volume is 199.4 Å³/cell. The density of states at the Fermi level is 0.817 states/eV per atom. For the magnetization, the calculation gives 3.137 μB/cell. The electronic total energy is -40.86 eV/atom. The value obtained for the energy relative to the elements, uncorrected is 0.43 eV per atom.

```
data_Te2PbIBr
_cell_length_a 5.823
_cell_length_b 5.823
_cell_length_c 5.881
_cell_angle_alpha 90.00
_cell_angle_beta 90.00
_cell_angle_gamma 90.00
_symmetry_space_group_name_H-M 'P 4/m m m'
_symmetry_Int_Tables_number 123
_symmetry_space_group_name_Hall '-P 4 2'
loop_
_atom_site_label
_atom_site_type_symbol
_atom_site_fract_x
_atom_site_fract_y
_atom_site_fract_z
_atom_site_occupancy
Te1 Te 0.000 0.500 0.000 1
Pb1 Pb 0.000 0.000 0.000 1
I1 I 0.000 0.000 0.500 1
Br1 Br 0.500 0.500 0.500 1
```